[1]
Computed, not measured: an optimized crystal structure of In4Sn4Hg at the GGA-PBE level of DFT.

Cell: 4.864 7.510 7.510 Å, 83.98 71.11 71.11°
Fractional coordinates of all 9 atoms:
In  0.500  0.830  0.670
Sn  0.833  0.833  0.000
In  0.830  0.170  0.670
Sn  0.167  0.167  0.000
Hg  0.500  0.500  0.000
Sn  0.834  0.500  0.333
In  0.170  0.830  0.330
In  0.500  0.170  0.330
Sn  0.166  0.500  0.667

Output
formation energy: 0.0348 eV/atom
distance to the lowest polymorph of the same formula: 0.0 kJ/mol of atoms

***

[2]
Computed, not measured: an optimized crystal structure of In8SnHg3 at the GGA-PBE level of DFT.

Cell: 8.375 8.727 9.027 Å, 46.69 110.59 131.44°
Fractional coordinates of all 12 atoms:
In  0.608  0.000  0.866
In  0.863  0.492  0.118
Sn  0.999  0.000  0.999
In  0.630  0.492  0.391
Hg  0.499  0.000  0.499
Hg  0.751  0.500  0.750
In  0.884  0.000  0.628
Hg  0.250  0.500  0.251
In  0.138  0.508  0.883
In  0.371  0.508  0.610
In  0.391  0.000  0.134
In  0.116  0.000  0.371

Output
formation energy: 0.0418 eV/atom

***

Number 1: E_tot -2.995 eV per atom, density of states at the Fermi level 3.66 states/eV/cell. Number 2: E_tot -2.193 eV per atom, density of states at the Fermi level 4.93 states/eV/cell.